Density functional theory data (PBE-GGA) for an optimized crystal structure of CeTaMnSi2.

```
5
Lattice="-1.9905 1.9905 5.6175 1.9905 -1.9905 5.6175 1.9905 1.9905 -5.6175" Properties=species:S:1:pos:R:3 pbc="T T T"
Ce 0.0000 0.0000 0.0000
Ta 1.9905 0.0000 2.8088
Mn 0.0000 1.9905 2.8088
Si 0.0000 0.0000 4.3978
Si 0.0000 0.0000 6.8373
```

Properties
Theoretical density: 8.06 Mg/m³
DOS(E_F): 5.40 states/eV/f.u.
ΔE_f (raw): -0.516 eV/atom
E_tot: -8.076 eV/atom

Density functional theory data (PBE-GGA) for an optimized crystal structure of Zr8Ag.

```
9
Lattice="-5.5624 5.5624 1.6285 5.5624 -5.5624 1.6285 5.5624 5.5624 -1.6285" Properties=species:S:1:pos:R:3 pbc="T T T"
Zr 3.6869 0.0000 0.0000
Zr 7.4379 0.0000 0.0000
Zr 0.0000 3.6869 0.0000
Zr 3.7362 3.7362 0.0000
Zr 1.8262 -1.8262 1.6285
Zr -1.8262 1.8262 1.6285
Zr 1.8262 1.8262 1.6285
Zr 0.0000 7.4379 0.0000
Ag 0.0000 0.0000 0.0000
```

Properties
Theoretical density: 6.90 Mg/m³
DOS(E_F): 12.66 states/eV/f.u.
Formation enthalpy at 0 K: 40 kJ/mol of formula units
E_tot: -7.870 eV/atom

Density functional theory data (PBE-GGA) for an optimized crystal structure of AcLa2CdSe5.

```
18
Lattice="2.1278 -9.2860 0.0000 2.1278 9.2860 0.0000 0.0000 0.0000 12.8790" Properties=species:S:1:pos:R:3 pbc="T T T"
Ac 2.1278 5.5118 6.4395
Ac 2.1278 -5.5118 0.0000
La 2.1278 7.2209 2.2543
La 2.1278 6.9565 10.3127
La 2.1278 -6.9565 3.8732
La 2.1278 -7.2209 8.6938
Cd 2.1278 0.7726 12.2007
Cd 2.1278 -0.7726 5.7612
Se 2.1278 8.4784 7.2981
Se 2.1278 3.9088 2.2623
Se 2.1278 3.3041 10.6978
Se 2.1278 2.4650 6.3440
Se 2.1278 0.1275 3.3252
Se 2.1278 -0.1275 9.7647
Se 2.1278 -2.4650 12.7835
Se 2.1278 -3.3041 4.2583
Se 2.1278 -3.9088 8.7018
Se 2.1278 -8.4784 0.8586
```

Properties
Theoretical density: 6.60 Mg/m³
DOS(E_F): 1.97 states/eV/f.u.
ΔE_f (raw): -1.628 eV/atom
E_tot: -5.217 eV/atom

Density functional theory data (PBE-GGA) for an optimized crystal structure of TlReSi2.

```
4
Lattice="0.0000 3.2529 3.2529 3.2529 0.0000 3.2529 3.2529 3.2529 0.0000" Properties=species:S:1:pos:R:3 pbc="T T T"
Tl 0.0000 0.0000 0.0000
Re 1.6264 1.6264 1.6264
Si 3.2529 3.2529 3.2529
Si 4.8793 4.8793 4.8793
```

Properties
Theoretical density: 10.78 Mg/m³
DOS(E_F): 3.46 states/eV/f.u.
ΔE_f (raw): 1.072 eV/atom
E_tot: -5.344 eV/atom

Density functional theory data (PBE-GGA) for an optimized crystal structure of CsTl3Rh.

```
10
Lattice="5.4522 -3.1264 0.0000 5.4522 3.1264 0.0000 -1.7500 0.0000 10.0678" Properties=species:S:1:pos:R:3 pbc="T T T"
Cs 1.8443 0.0000 1.2427
Cs 7.3101 0.0000 8.8251
Tl 1.8511 1.5632 5.0339
Tl -0.1567 0.0000 7.2544
Tl 3.8540 0.0000 7.2749
Tl 1.8511 -1.5632 5.0339
Tl 5.3004 0.0000 2.7928
Tl 9.3111 0.0000 2.8134
Rh 4.5772 1.5625 5.0339
Rh 4.5772 -1.5625 5.0339
```

Properties
Theoretical density: 8.21 Mg/m³
DOS(E_F): 2.54 states/eV/f.u.
Formation enthalpy at 0 K: -12 kJ/mol of formula units
E_tot: -3.086 eV/atom

Density functional theory data (PBE-GGA) for an optimized crystal structure of TmU4O10.

```
15
Lattice="-4.2540 4.2540 2.6900 4.2540 -4.2540 2.6900 4.2540 4.2540 -2.6900" Properties=species:S:1:pos:R:3 pbc="T T T"
Tm 0.0000 0.0000 0.0000
U 3.3918 1.7148 0.0000
U 2.5392 -0.8622 2.6900
U 1.7148 5.1162 0.0000
U 0.8622 2.5392 2.6900
O 5.1040 2.5395 -1.3403
O 2.5395 3.4040 -1.3403
O 4.2540 0.0000 1.3450
O 1.7145 0.8500 1.3497
O -0.8500 1.7145 1.3497
O 5.1040 2.5395 1.3403
O 2.5395 3.4040 1.3403
O 0.0000 4.2540 1.3450
O 1.7145 0.8500 4.0304
O -0.8500 1.7145 4.0304
```

Properties
Theoretical density: 10.92 Mg/m³
DOS(E_F): 21.71 states/eV/f.u.
ΔE_f (raw): -3.376 eV/atom
E_tot: -9.990 eV/atom

Density functional theory data (PBE-GGA) for an optimized crystal structure of BeCrPbCl2.

```
5
Lattice="4.4649 0.0000 0.0000 0.0000 4.4649 0.0000 0.0000 0.0000 5.1296" Properties=species:S:1:pos:R:3 pbc="T T T"
Be 0.0000 0.0000 0.0000
Cr 0.0000 0.0000 2.5648
Pb 2.2325 2.2325 0.0000
Cl 0.0000 2.2325 2.5648
Cl 2.2325 0.0000 2.5648
```

Properties
Theoretical density: 5.51 Mg/m³
DOS(E_F): 4.77 states/eV/f.u.
ΔE_f (raw): 0.358 eV/atom
E_tot: -3.792 eV/atom